Entry from Alexandria via LeMat-Bulk: a geometry-optimized PmUC2 structure (PBE-GGA).

a = 3.5059 Å, b = 6.1415 Å, c = 6.2874 Å
α = 90.00°, β = 90.00°, γ = 90.00°
Each line ends with the local moment (μB).
Fractional positions:
U 0.0000 0.0000 0.0000  0.58
Pm 0.0000 0.5000 0.0000  0.14
C 0.5000 0.2028 0.8612  -0.04
C 0.5000 0.7972 0.1388  -0.04
C 0.0000 0.2972 0.3612  -0.04
Pm 0.5000 0.0000 0.5000  0.14
U 0.5000 0.5000 0.5000  0.58
C 0.0000 0.7028 0.6388  -0.04

The calculation puts the total magnetization at 1.453 μB/cell. The value obtained for the calculated density is 9.99 g/cm3. The density of states at the Fermi level comes out at 6.5 states/eV/cell. As for the formation energy: 19 kJ per mole of atoms. The energy above the lowest structure with this stoichiometry comes out at 0.380 eV per atom.